# NaLi2Zn2H6 | the Alexandria database | PBE | optimized geometry
data_NaLi2Zn2H6
_cell_length_a 5.0008
_cell_length_b 5.0008
_cell_length_c 6.8499
_cell_angle_alpha 90.00
_cell_angle_beta 90.00
_cell_angle_gamma 120.00
_symmetry_space_group_name_H-M 'P -3'
_symmetry_Int_Tables_number 147
_symmetry_space_group_name_Hall '-P 3'
loop_
_atom_site_label
_atom_site_type_symbol
_atom_site_fract_x
_atom_site_fract_y
_atom_site_fract_z
Na1 Na 0.0000 0.0000 0.0000
Li1 Li 0.3333 0.6667 0.3091
Zn1 Zn 0.3333 0.6667 0.7538
H1 H 0.0160 0.6710 0.7725
# Density of states at the Fermi level (states/eV per cell): 1.086
# Magnetization (Bohr magnetons per cell): 0.0
# Uncorrected energy (eV/atom): -2.585

---

# VAg | the Alexandria database | PBE | optimized geometry
data_VAg
_cell_length_a 4.770
_cell_length_b 8.358
_cell_length_c 13.912
_cell_angle_alpha 90.00
_cell_angle_beta 90.00
_cell_angle_gamma 90.00
_symmetry_space_group_name_H-M 'F d d d'
_symmetry_Int_Tables_number 70
loop_
_symmetry_equiv_pos_as_xyz
'x,y,z'
'-x,-y,-z'
'-x+1/4,-y+1/4,z'
'x+1/4,y+1/4,-z'
'x,-y+1/4,-z+1/4'
'-x,y+1/4,z+1/4'
'-x+1/4,y,-z+1/4'
'x+1/4,-y,z+1/4'
'x,y+1/2,z+1/2'
'-x,-y+1/2,-z+1/2'
'-x+1/4,-y+3/4,z+1/2'
'x+1/4,y+3/4,-z+1/2'
'x,-y+3/4,-z+3/4'
'-x,y+3/4,z+3/4'
'-x+1/4,y+1/2,-z+3/4'
'x+1/4,-y+1/2,z+3/4'
'x+1/2,y,z+1/2'
'-x+1/2,-y,-z+1/2'
'-x+3/4,-y+1/4,z+1/2'
'x+3/4,y+1/4,-z+1/2'
'x+1/2,-y+1/4,-z+3/4'
'-x+1/2,y+1/4,z+3/4'
'-x+3/4,y,-z+3/4'
'x+3/4,-y,z+3/4'
'x+1/2,y+1/2,z'
'-x+1/2,-y+1/2,-z'
'-x+3/4,-y+3/4,z'
'x+3/4,y+3/4,-z'
'x+1/2,-y+3/4,-z+1/4'
'-x+1/2,y+3/4,z+1/4'
'-x+3/4,y+1/2,-z+1/4'
'x+3/4,-y+1/2,z+1/4'
loop_
_atom_site_label
_atom_site_type_symbol
_atom_site_fract_x
_atom_site_fract_y
_atom_site_fract_z
V1 V 0.125 0.125 0.058
Ag1 Ag 0.125 0.290 0.625
# Energy of formation (eV/atom): 0.62
# Density of states at the Fermi level (states/eV per cell): 28.093
# Magnetization (Bohr magnetons per cell): 0.0

---

- What is the density of states at the Fermi level in the second record?
  28.093 states/eV per cell